# TbZrCdOs GGA-PBE optimized geometry
# calculated formation energy: -0.152 eV per atom
# magnetic moment: 0.000 μB per atom
# E: -25.93 eV per formula unit
# D(E_F): 2.48 states/eV/f.u.
data_TbZrCdOs
_chemical_formula_sum 'Tb4 Zr4 Cd4 Os4'
_space_group_name_H-M_alt 'F -4 3 m'
_space_group_IT_number 216
_space_group_name_Hall 'F -4 2 3'
_cell_length_a 6.953
_cell_length_b 6.953
_cell_length_c 6.953
_cell_angle_alpha 90.00
_cell_angle_beta 90.00
_cell_angle_gamma 90.00
loop_
_atom_site_label
_atom_site_type_symbol
_atom_site_fract_x
_atom_site_fract_y
_atom_site_fract_z
_atom_site_occupancy
Tb1 Tb 0.000 0.000 0.000 1
Zr1 Zr 0.000 0.000 0.500 1
Cd1 Cd 0.250 0.250 0.250 1
Os1 Os 0.250 0.250 0.750 1

---

# TbYSe2 GGA-PBE optimized geometry
# uncorrected formation energy: -683 kJ/mol of formula units
# magnetic moment: 0.000 μB per atom
# E: -25.14 eV per formula unit
# D(E_F): 1.94 states/eV/f.u.
data_TbYSe2
_chemical_formula_sum 'Tb3 Y3 Se6'
_space_group_name_H-M_alt 'R -3 m'
_space_group_IT_number 166
_space_group_name_Hall '-R 3 2"'
_cell_length_a 4.1008
_cell_length_b 4.1008
_cell_length_c 19.9415
_cell_angle_alpha 90.00
_cell_angle_beta 90.00
_cell_angle_gamma 120.00
loop_
_atom_site_label
_atom_site_type_symbol
_atom_site_fract_x
_atom_site_fract_y
_atom_site_fract_z
_atom_site_occupancy
Tb1 Tb 0.0000 0.0000 0.0000 1
Y1 Y 0.0000 0.0000 0.5000 1
Se1 Se 0.0000 0.0000 0.2497 1

---

# Mg4Ta GGA-PBE optimized geometry
# calculated formation energy: 1.209 eV per atom
# magnetic moment: 0.630 μB per atom
# E: -12.19 eV per formula unit
# D(E_F): 3.15 states/eV/f.u.
data_Mg4Ta
_chemical_formula_sum 'Mg4 Ta1'
_space_group_name_H-M_alt 'P m -3 m'
_space_group_IT_number 221
_space_group_name_Hall '-P 4 2 3'
_cell_length_a 5.417
_cell_length_b 5.417
_cell_length_c 5.417
_cell_angle_alpha 90.00
_cell_angle_beta 90.00
_cell_angle_gamma 90.00
loop_
_atom_site_label
_atom_site_type_symbol
_atom_site_fract_x
_atom_site_fract_y
_atom_site_fract_z
_atom_site_occupancy
Mg1 Mg 0.000 0.000 0.000 1
Mg2 Mg 0.000 0.500 0.500 1
Ta1 Ta 0.500 0.500 0.500 1

---

# SrIn2Ga GGA-PBE optimized geometry
# calculated formation energy: -0.100 eV per atom
# magnetic moment: 0.000 μB per atom
# E: -10.59 eV per formula unit
# D(E_F): 1.98 states/eV/f.u.
data_SrIn2Ga
_chemical_formula_sum 'Sr4 In8 Ga4'
_space_group_name_H-M_alt 'I -4 2 d'
_space_group_IT_number 122
_space_group_name_Hall 'I -4 2bw'
_cell_length_a 5.091
_cell_length_b 5.091
_cell_length_c 19.931
_cell_angle_alpha 90.00
_cell_angle_beta 90.00
_cell_angle_gamma 90.00
loop_
_atom_site_label
_atom_site_type_symbol
_atom_site_fract_x
_atom_site_fract_y
_atom_site_fract_z
_atom_site_occupancy
Sr1 Sr 0.000 0.000 0.000 1
In1 In 0.138 0.250 0.625 1
Ga1 Ga 0.000 0.000 0.500 1

---

# MgPt2PbO8 GGA-PBE optimized geometry
# uncorrected formation energy: -521 kJ/mol of formula units
# magnetic moment: 0.000 μB per atom
# E: -62.45 eV per formula unit
data_MgPt2PbO8
_chemical_formula_sum 'Mg1 Pt2 Pb1 O8'
_space_group_name_H-M_alt 'P -3'
_space_group_IT_number 147
_space_group_name_Hall '-P 3'
_cell_length_a 5.4403
_cell_length_b 5.4403
_cell_length_c 6.2921
_cell_angle_alpha 90.00
_cell_angle_beta 90.00
_cell_angle_gamma 120.00
loop_
_atom_site_label
_atom_site_type_symbol
_atom_site_fract_x
_atom_site_fract_y
_atom_site_fract_z
_atom_site_occupancy
Mg1 Mg 0.0000 0.0000 0.0000 1
Pt1 Pt 0.3333 0.6667 0.9495 1
Pb1 Pb 0.0000 0.0000 0.5000 1
O1 O 0.0531 0.3654 0.1451 1
O2 O 0.3333 0.6667 0.6402 1

---

# Rb2Pa2S7 GGA-PBE optimized geometry
# uncorrected formation energy: -1350 kJ/mol of formula units
# magnetic moment: 0.000 μB per atom
# E: -63.81 eV per formula unit
# D(E_F): 4.81 states/eV/f.u.
data_Rb2Pa2S7
_chemical_formula_sum 'Rb4 Pa4 S14'
_space_group_name_H-M_alt 'C m m m'
_space_group_IT_number 65
_space_group_name_Hall '-C 2 2'
_cell_length_a 8.452
_cell_length_b 9.635
_cell_length_c 8.049
_cell_angle_alpha 90.00
_cell_angle_beta 90.00
_cell_angle_gamma 90.00
loop_
_atom_site_label
_atom_site_type_symbol
_atom_site_fract_x
_atom_site_fract_y
_atom_site_fract_z
_atom_site_occupancy
Rb1 Rb 0.233 0.000 0.000 1
Pa1 Pa 0.000 0.275 0.500 1
S1 S 0.000 0.000 0.500 1
S2 S 0.000 0.500 0.297 1
S3 S 0.250 0.250 0.292 1